1.
A plane-wave DFT calculation with PBE was carried out for PuMoPb after structural relaxation.

* uncorrected energy: -108.401 eV/cell
* total magnetization: 16.31 Bohr magnetons per cell

```
data_PuMoPb
_cell_length_a 6.673
_cell_length_b 6.673
_cell_length_c 6.673
_cell_angle_alpha 90.00
_cell_angle_beta 90.00
_cell_angle_gamma 90.00
_space_group_name_H-M_alt 'F -4 3 m'
_space_group_IT_number 216
_space_group_name_Hall 'F -4 2 3'
loop_
_atom_site_label
_atom_site_type_symbol
_atom_site_fract_x
_atom_site_fract_y
_atom_site_fract_z
Pu1 Pu 0.000 0.000 0.000
Mo1 Mo 0.250 0.250 0.750
Pb1 Pb 0.000 0.000 0.500
```



2.
A plane-wave DFT calculation with PBE was carried out for Rb2MoPbSe6 after structural relaxation.

* uncorrected energy: -84.169 eV/cell
* total magnetization: 0.00 Bohr magnetons per cell

```
data_Rb2MoPbSe6
_cell_length_a 7.026
_cell_length_b 7.026
_cell_length_c 12.695
_cell_angle_alpha 90.00
_cell_angle_beta 90.00
_cell_angle_gamma 90.00
_space_group_name_H-M_alt 'I 4/m'
_space_group_IT_number 87
_space_group_name_Hall '-I 4'
loop_
_atom_site_label
_atom_site_type_symbol
_atom_site_fract_x
_atom_site_fract_y
_atom_site_fract_z
Rb1 Rb 0.000 0.500 0.250
Mo1 Mo 0.000 0.000 0.000
Pb1 Pb 0.000 0.000 0.500
Se1 Se 0.000 0.000 0.193
Se2 Se 0.112 0.358 0.000
```



3.
A plane-wave DFT calculation with PBE was carried out for Mo2PbS4 after structural relaxation.

* uncorrected energy: -178.148 eV/cell
* total magnetization: 0.04 Bohr magnetons per cell

```
data_Mo2PbS4
_cell_length_a 5.910
_cell_length_b 10.593
_cell_length_c 10.678
_cell_angle_alpha 90.00
_cell_angle_beta 90.00
_cell_angle_gamma 90.00
_space_group_name_H-M_alt 'C c c m'
_space_group_IT_number 66
_space_group_name_Hall '-C 2 2c'
loop_
_atom_site_label
_atom_site_type_symbol
_atom_site_fract_x
_atom_site_fract_y
_atom_site_fract_z
Mo1 Mo 0.001 0.242 0.000
Pb1 Pb 0.000 0.000 0.250
S1 S 0.232 0.416 0.000
S2 S 0.250 0.250 0.335
```



Which formula does entry 1 have? PuMoPb



Please write out number 2 again, unchanged.
A plane-wave DFT calculation with PBE was carried out for Rb2MoPbSe6 after structural relaxation.

* uncorrected energy: -84.169 eV/cell
* total magnetization: 0.00 Bohr magnetons per cell

```
data_Rb2MoPbSe6
_cell_length_a 7.026
_cell_length_b 7.026
_cell_length_c 12.695
_cell_angle_alpha 90.00
_cell_angle_beta 90.00
_cell_angle_gamma 90.00
_space_group_name_H-M_alt 'I 4/m'
_space_group_IT_number 87
_space_group_name_Hall '-I 4'
loop_
_atom_site_label
_atom_site_type_symbol
_atom_site_fract_x
_atom_site_fract_y
_atom_site_fract_z
Rb1 Rb 0.000 0.500 0.250
Mo1 Mo 0.000 0.000 0.000
Pb1 Pb 0.000 0.000 0.500
Se1 Se 0.000 0.000 0.193
Se2 Se 0.112 0.358 0.000
```



Look up the total magnetization of the first one. 16.31 Bohr magnetons per cell



What is the formula in the first record? PuMoPb